A plane-wave DFT calculation with PBE was carried out for a relaxed Cd3TcN crystal.

* ΔE to the lowest computed polymorph: 0.000 eV/atom
* symmetry: No. 221

Cell and atoms, written as POSCAR:
```
Cd3TcN
1.0
-1.919 3.853 -1.421
-2.094 0.432 3.998
3.533 2.349 1.597
N Cd Tc
1 3 1
Direct
0.000 0.000 0.000
0.000 0.000 0.500
0.000 0.500 0.000
0.500 0.000 0.000
0.500 0.500 0.500
```



A plane-wave DFT calculation with PBE was carried out for a relaxed CdTcN2 crystal.

* ΔE to the lowest computed polymorph: 0.000 eV/atom
* symmetry: No. 166

Cell and atoms, written as POSCAR:
```
CdTcN2
1.0
-2.365 6.000 2.903
-0.147 5.275 4.709
0.409 6.712 2.193
Tc Cd N
1 1 2
Direct
0.500 0.500 0.500
0.000 0.000 0.000
0.891 0.891 0.891
0.109 0.109 0.109
```



A plane-wave DFT calculation with PBE was carried out for a relaxed CdTc2N crystal.

* ΔE to the lowest computed polymorph: 0.019 eV/atom
* symmetry: No. 166

Cell and atoms, written as POSCAR:
```
CdTc2N
1.0
-0.209 -3.141 -0.008
2.524 -1.748 0.699
-1.156 -1.519 7.464
N Tc Cd
1 2 1
Direct
0.500 0.500 0.500
0.877 0.877 0.369
0.123 0.123 0.631
0.000 0.000 0.000
```



A plane-wave DFT calculation with PBE was carried out for a relaxed CdTc2N crystal.

* ΔE to the lowest computed polymorph: 1.185 eV/atom
* symmetry: No. 225

Cell and atoms, written as POSCAR:
```
CdTc2N
1.0
3.603 -2.179 0.887
2.597 1.333 3.161
0.299 -2.273 3.641
Cd Tc N
1 2 1
Direct
0.500 0.500 0.500
0.750 0.750 0.750
0.250 0.250 0.250
0.000 0.000 0.000
```



A plane-wave DFT calculation with PBE was carried out for a relaxed CdTcN2 crystal.

* ΔE to the lowest computed polymorph: 0.627 eV/atom
* symmetry: No. 166

Cell and atoms, written as POSCAR:
```
CdTcN2
1.0
0.727 3.518 5.778
3.405 4.142 4.188
0.754 5.765 3.533
Cd N Tc
1 2 1
Direct
0.500 0.500 0.500
0.093 0.093 0.093
0.907 0.907 0.907
0.000 0.000 0.000
```



A plane-wave DFT calculation with PBE was carried out for a relaxed Cd3TcN crystal.

* ΔE to the lowest computed polymorph: 0.986 eV/atom
* symmetry: No. 221

Cell and atoms, written as POSCAR:
```
Cd3TcN
1.0
5.278 0.000 0.000
0.000 5.278 0.000
0.000 0.000 5.278
Cd N Tc
3 1 1
Direct
0.000 0.500 0.000
0.000 0.000 0.500
0.500 0.000 0.000
0.500 0.500 0.500
0.000 0.000 0.000
```



A plane-wave DFT calculation with PBE was carried out for a relaxed CdTcTe2N crystal.

* symmetry: No. 123

Cell and atoms, written as POSCAR:
```
CdTcTe2N
1.0
5.507 0.000 0.000
0.000 5.507 0.000
0.000 0.000 3.717
Cd Te Tc N
1 2 1 1
Direct
0.500 0.500 0.500
0.500 0.000 0.000
0.000 0.500 0.000
0.000 0.000 0.000
0.000 0.000 0.500
```



A plane-wave DFT calculation with PBE was carried out for a relaxed V2CdTcN crystal.

* symmetry: No. 123

Cell and atoms, written as POSCAR:
```
V2CdTcN
1.0
3.929 0.000 0.000
0.000 4.478 0.000
0.000 0.000 3.929
Tc V Cd N
1 2 1 1
Direct
0.500 0.500 0.500
0.000 0.000 0.500
0.500 0.000 0.000
0.000 0.500 0.000
0.000 0.000 0.000
```



| no. | spin magnetization (μB/f.u.) | uncorrected formation energy (eV/atom) |
| --- | --- | --- |
| 1 | 2.4 | 1.0261 |
| 2 | 0.0 | 0.3703 |
| 3 | 0.0 | 0.4444 |
| 4 | 0.9 | 1.6101 |
| 5 | 0.0 | 0.9969 |
| 6 | 2.4 | 2.0119 |
| 7 | 0.0 | 0.1994 |
| 8 | 0.0 | 0.1683 |